(1)
DFT (PBE-GGA) results for Th3Ag after structural relaxation.

* ΔH_f (0 K): 0.08 eV/atom
* total magnetic moment: 0.0 Bohr magnetons per cell
* distance to the lowest polymorph of the same formula: 65 meV per atom
* energy: -49.6 eV per cell
* DOS at the Fermi energy: 4.36 states/eV/f.u.

a = 4.8420 Å, b = 4.8420 Å, c = 9.9243 Å
α = 90.00°, β = 90.00°, γ = 90.00°
Space group I4/mmm (No. 139)
Asymmetric unit:
Th1 0.0000 0.0000 0.0000 [2 per cell]
Th2 0.0000 0.5000 0.2500 [4 per cell]
Ag1 0.0000 0.0000 0.5000 [2 per cell]



(2)
DFT (PBE-GGA) results for Pm3PrPb3 after structural relaxation.

* ΔH_f (0 K): -0.39 eV/atom
* total magnetic moment: 0.0 Bohr magnetons per cell
* energy: -197.3 eV per cell
* DOS at the Fermi energy: 4.25 states/eV/f.u.

a = 9.5364 Å, b = 9.5364 Å, c = 19.3345 Å
α = 90.00°, β = 90.00°, γ = 120.00°
Space group R-3 (No. 148, hexagonal axes)
Asymmetric unit:
Pm1 0.0064 0.7200 0.0921 [18 per cell]
Pr1 0.0000 0.0000 0.3325 [6 per cell]
Pb1 0.0045 0.6338 0.9228 [18 per cell]



(3)
DFT (PBE-GGA) results for Ac3Hg7Rh4 after structural relaxation.

* ΔH_f (0 K): -0.37 eV/atom
* total magnetic moment: 0.0 Bohr magnetons per cell
* energy: -98.0 eV per cell
* DOS at the Fermi energy: 6.47 states/eV/f.u.

a = 17.2383 Å, b = 4.3220 Å, c = 10.9076 Å
α = 90.00°, β = 124.52°, γ = 90.00°
Space group C2/m (No. 12)
Asymmetric unit:
Ac1 0.0000 0.0000 0.0000 [2 per cell]
Ac2 0.1983 0.5000 0.7121 [4 per cell]
Hg1 0.0000 0.0000 0.5000 [2 per cell]
Hg2 0.0142 0.5000 0.2898 [4 per cell]
Hg3 0.1679 0.0000 0.4327 [4 per cell]
Hg4 0.1771 0.5000 0.0104 [4 per cell]
Rh1 0.1131 0.0000 0.8055 [4 per cell]
Rh2 0.1597 0.5000 0.2484 [4 per cell]



(4)
DFT (PBE-GGA) results for ReOs after structural relaxation.

* ΔH_f (0 K): 0.06 eV/atom
* total magnetic moment: 0.0 Bohr magnetons per cell
* distance to the lowest polymorph of the same formula: 152 meV per atom
* energy: -94.2 eV per cell
* DOS at the Fermi energy: 1.66 states/eV/f.u.

a = 3.8828 Å, b = 3.8828 Å, c = 7.7790 Å
α = 90.00°, β = 90.00°, γ = 90.00°
Space group I4_1/amd (No. 141, origin choice 2)
Asymmetric unit:
Re1 0.0000 0.2500 0.3750 [4 per cell]
Os1 0.0000 0.2500 0.8750 [4 per cell]



> Which of these has the highest DOS at the Fermi energy?

Ac3Hg7Rh4